LaCd2Fe PBE-GGA relaxed; SG = No. 160; calculated formation energy = 0.3185 eV per atom
1.0
1.825 1.054 8.519
-1.825 1.054 8.519
0.000 -2.107 8.519
La Cd Fe
1 2 1
direct
0.000 0.000 0.000
0.225 0.225 0.225
0.472 0.472 0.472
0.740 0.740 0.740